Entry from Alexandria via LeMat-Bulk: crystalline Sr2Pd5Pt5 at its relaxed geometry (PBE).

* magnetic moment: 0.00 μB per formula unit
* E_form: -0.4941 eV per atom
* D(E_F): 9.82 states/eV/f.u.

```
data_Sr2Pd5Pt5
_symmetry_space_group_name_H-M 'P m m m'
_symmetry_Int_Tables_number 47
_cell_length_a 4.446
_cell_length_b 5.437
_cell_length_c 9.444
_cell_angle_alpha 90.00
_cell_angle_beta 90.00
_cell_angle_gamma 90.00
loop_
_symmetry_equiv_pos_as_xyz
'x,y,z'
'-x,-y,-z'
'-x,-y,z'
'x,y,-z'
'x,-y,-z'
'-x,y,z'
'-x,y,-z'
'x,-y,z'
loop_
_atom_site_label
_atom_site_type_symbol
_atom_site_fract_x
_atom_site_fract_y
_atom_site_fract_z
Sr1 Sr 0.000 0.000 0.000
Sr2 Sr 0.000 0.500 0.500
Pd1 Pd 0.000 0.000 0.331
Pd2 Pd 0.000 0.500 0.167
Pd3 Pd 0.500 0.000 0.500
Pt1 Pt 0.500 0.249 0.248
Pt2 Pt 0.500 0.500 0.000
```

***

Entry from Alexandria via LeMat-Bulk: crystalline Sm2Al3SiPt4 at its relaxed geometry (PBE).

* magnetic moment: 0.00 μB per formula unit
* formation energy from raw total energies: -1.1195 eV/atom
* D(E_F): 6.36 states/eV/f.u.

```
data_Sm2Al3SiPt4
_symmetry_space_group_name_H-M 'P -4 m 2'
_symmetry_Int_Tables_number 115
_cell_length_a 4.256
_cell_length_b 4.256
_cell_length_c 10.273
_cell_angle_alpha 90.00
_cell_angle_beta 90.00
_cell_angle_gamma 90.00
loop_
_symmetry_equiv_pos_as_xyz
'x,y,z'
'y,-x,-z'
'-x,-y,z'
'-y,x,-z'
'-x,y,z'
'-y,-x,-z'
'x,-y,z'
'y,x,-z'
loop_
_atom_site_label
_atom_site_type_symbol
_atom_site_fract_x
_atom_site_fract_y
_atom_site_fract_z
Sm1 Sm 0.000 0.500 0.243
Al1 Al 0.000 0.000 0.000
Al2 Al 0.000 0.500 0.631
Si1 Si 0.500 0.500 0.000
Pt1 Pt 0.000 0.000 0.500
Pt2 Pt 0.000 0.500 0.873
Pt3 Pt 0.500 0.500 0.500
```

***

Entry from Alexandria via LeMat-Bulk: crystalline Pr3Tm3Th at its relaxed geometry (PBE).

* magnetic moment: 0.00 μB per formula unit
* E_form: 0.1339 eV per atom
* D(E_F): 8.44 states/eV/f.u.

```
data_Pr3Tm3Th
_symmetry_space_group_name_H-M 'P 1 21/m 1'
_symmetry_Int_Tables_number 11
_cell_length_a 11.398
_cell_length_b 3.586
_cell_length_c 11.681
_cell_angle_alpha 90.00
_cell_angle_beta 93.41
_cell_angle_gamma 90.00
loop_
_symmetry_equiv_pos_as_xyz
'x,y,z'
'-x,-y,-z'
'-x,y+1/2,-z'
'x,-y+1/2,z'
loop_
_atom_site_label
_atom_site_type_symbol
_atom_site_fract_x
_atom_site_fract_y
_atom_site_fract_z
Pr1 Pr 0.031 0.250 0.365
Pr2 Pr 0.049 0.250 0.887
Pr3 Pr 0.440 0.250 0.883
Tm1 Tm 0.231 0.250 0.655
Tm2 Tm 0.262 0.250 0.149
Tm3 Tm 0.277 0.750 0.412
Th1 Th 0.485 0.750 0.630
```

***

Entry from Alexandria via LeMat-Bulk: crystalline YZn2Se at its relaxed geometry (PBE).

* magnetic moment: 0.29 μB per formula unit
* formation energy from raw total energies: -0.3405 eV/atom
* D(E_F): 1.88 states/eV/f.u.

```
data_YZn2Se
_symmetry_space_group_name_H-M 'P 4/m m m'
_symmetry_Int_Tables_number 123
_symmetry_space_group_name_Hall '-P 4 2'
_cell_length_a 3.570
_cell_length_b 3.570
_cell_length_c 6.439
_cell_angle_alpha 90.00
_cell_angle_beta 90.00
_cell_angle_gamma 90.00
loop_
_atom_site_label
_atom_site_type_symbol
_atom_site_fract_x
_atom_site_fract_y
_atom_site_fract_z
Y1 Y 0.000 0.000 0.000
Zn1 Zn 0.500 0.500 0.287
Se1 Se 0.000 0.000 0.500
```

***

Entry from Alexandria via LeMat-Bulk: crystalline Nd3CoI3 at its relaxed geometry (PBE).

* magnetic moment: 0.00 μB per formula unit
* formation energy from raw total energies: -0.9263 eV/atom
* D(E_F): 4.40 states/eV/f.u.

```
data_Nd3CoI3
_symmetry_space_group_name_H-M 'P 1 21/m 1'
_symmetry_Int_Tables_number 11
_cell_length_a 9.329
_cell_length_b 4.309
_cell_length_c 12.259
_cell_angle_alpha 90.00
_cell_angle_beta 92.88
_cell_angle_gamma 90.00
loop_
_symmetry_equiv_pos_as_xyz
'x,y,z'
'-x,-y,-z'
'-x,y+1/2,-z'
'x,-y+1/2,z'
loop_
_atom_site_label
_atom_site_type_symbol
_atom_site_fract_x
_atom_site_fract_y
_atom_site_fract_z
Nd1 Nd 0.096 0.250 0.399
Nd2 Nd 0.111 0.250 0.825
Nd3 Nd 0.305 0.750 0.616
Co1 Co 0.111 0.250 0.618
I1 I 0.134 0.250 0.119
I2 I 0.363 0.750 0.878
I3 I 0.393 0.750 0.362
```

***

Entry from Alexandria via LeMat-Bulk: crystalline Zr2MnZn2 at its relaxed geometry (PBE).

* magnetic moment: 2.31 μB per formula unit
* E_form: 0.3239 eV per atom
* D(E_F): 5.68 states/eV/f.u.

```
data_Zr2MnZn2
_symmetry_space_group_name_H-M 'P 4/m b m'
_symmetry_Int_Tables_number 127
_symmetry_space_group_name_Hall '-P 4 2ab'
_cell_length_a 7.070
_cell_length_b 7.070
_cell_length_c 3.914
_cell_angle_alpha 90.00
_cell_angle_beta 90.00
_cell_angle_gamma 90.00
loop_
_atom_site_label
_atom_site_type_symbol
_atom_site_fract_x
_atom_site_fract_y
_atom_site_fract_z
Zr1 Zr 0.163 0.337 0.000
Mn1 Mn 0.000 0.000 0.000
Zn1 Zn 0.140 0.640 0.500
```